1 | BSbF2 | PBE | optimized geometry

a = 4.2571 Å, b = 4.2571 Å, c = 4.2571 Å
α = 60.00°, β = 60.00°, γ = 60.00°
Last column: nearest neighbours and their distance in Å.
Fractional positions:
Sb: 0.5000 0.5000 0.5000  8 F 2.61
B: 0.0000 0.0000 0.0000  8 F 2.61
F: 0.2500 0.2500 0.2500  4 Sb 2.61, 4 B 2.61
F: 0.7500 0.7500 0.7500  4 B 2.61, 4 Sb 2.61



2 | BSbF2 | PBE | optimized geometry

a = 10.4625 Å, b = 10.4625 Å, c = 10.4625 Å
α = 16.94°, β = 16.94°, γ = 16.94°
Last column: nearest neighbours and their distance in Å.
Fractional positions:
Sb: 0.5000 0.5000 0.5000  6 Sb 3.08
B: 0.0000 0.0000 0.0000  2 F 1.32
F: 0.9572 0.9572 0.9572  1 B 1.32
F: 0.0428 0.0428 0.0428  1 B 1.32



Stability, highest: 2